(1)
The following is a PBE calculation of crystalline TmZrSnAu at its relaxed geometry, from the Alexandria database.

As for the formation energy: -511 meV per atom. As for the total energy: -5.586 eV per atom. The density of states at the Fermi level is 19.5 states/eV per cell.

The space group is F-43m (No. 216) and the conventional cell measures 7.1243, 7.1243 and 7.1243 Å, with angles of 90.00, 90.00 and 90.00 degrees. Symmetry generates all atoms from Tm at (0.0000, 0.0000, 0.0000), Zr at (0.0000, 0.0000, 0.5000), Sn at (0.2500, 0.2500, 0.2500) and Au at (0.2500, 0.2500, 0.7500).

***

(2)
The following is a PBE calculation of crystalline USnAu6 at its relaxed geometry, from the Alexandria database.

As for the formation energy: -123 meV per atom. As for the total energy: -4.492 eV per atom. The density of states at the Fermi level is 12.1 states/eV per cell.

The space group is C2/m (No. 12) and the conventional cell measures 9.2416, 4.6503 and 8.5028 Å, with angles of 90.00, 117.06 and 90.00 degrees. Symmetry generates all atoms from U at (0.0000, 0.0000, 0.0000), Sn at (0.0000, 0.0000, 0.5000), Au at (0.0227, 0.5000, 0.7629), Au at (0.2428, 0.5000, 0.1420) and Au at (0.2501, 0.0000, 0.3884).

***

(3)
The following is a PBE calculation of crystalline USnAu4 at its relaxed geometry, from the Alexandria database.

The value obtained for the polymorph energy (0 for the lowest one) is 0.000 eV per atom. As for the formation energy: -163 meV per atom. As for the total energy: -4.897 eV per atom. The density of states at the Fermi level is 14.8 states/eV per cell.

The space group is C2/m (No. 12) and the conventional cell measures 8.3477, 4.8320 and 6.3819 Å, with angles of 90.00, 90.09 and 90.00 degrees. Symmetry generates all atoms from U at (0.0000, 0.0000, 0.0000), Sn at (0.0000, 0.0000, 0.5000), Au at (0.1671, 0.5000, 0.2461) and Au at (0.1666, 0.5000, 0.7589).

***

(4)
The following is a PBE calculation of crystalline USnAu2 at its relaxed geometry, from the Alexandria database.

As for the formation energy: -87 meV per atom. As for the total energy: -5.548 eV per atom. The density of states at the Fermi level is 6.4 states/eV per cell.

The space group is P4/mmm (No. 123) and the conventional cell measures 4.6358, 4.6358 and 4.2132 Å, with angles of 90.00, 90.00 and 90.00 degrees. Symmetry generates all atoms from U at (0.0000, 0.0000, 0.0000), Sn at (0.5000, 0.5000, 0.0000) and Au at (0.0000, 0.5000, 0.5000).

***

(5)
The following is a PBE calculation of crystalline USnAu2 at its relaxed geometry, from the Alexandria database.

As for the formation energy: -97 meV per atom. As for the total energy: -5.559 eV per atom. The density of states at the Fermi level is 7.9 states/eV per cell.

The space group is P4/mmm (No. 123) and the conventional cell measures 3.4265, 3.4265 and 7.6521 Å, with angles of 90.00, 90.00 and 90.00 degrees. Symmetry generates all atoms from U at (0.0000, 0.0000, 0.0000), Sn at (0.0000, 0.0000, 0.5000) and Au at (0.5000, 0.5000, 0.2506).

***

(6)
The following is a PBE calculation of crystalline U2SnAu6 at its relaxed geometry, from the Alexandria database.

As for the formation energy: -175 meV per atom. As for the total energy: -5.313 eV per atom. The density of states at the Fermi level is 36.9 states/eV per cell.

The space group is R-3m (No. 166, hexagonal axes) and the conventional cell measures 8.5113, 8.5113 and 8.9831 Å, with angles of 90.00, 90.00 and 120.00 degrees. Symmetry generates all atoms from U at (0.0000, 0.0000, 0.1518), Sn at (0.0000, 0.0000, 0.5000) and Au at (0.0000, 0.3343, 0.0000).

***

Computed spin magnetization (μB/f.u.) in order:
0.00; 2.49; 2.47; 2.85; 2.68; 5.15